The following is a DFT calculation (PBE) of BeAl2Sb after structural relaxation.

Results
The calculation puts the density at 4.19 g cm⁻³. The calculation puts the spin magnetization at 0.00 μB per atom. The density of states at the Fermi level comes out at 0.145 states/eV per atom. As for the uncorrected formation energy: 0.373 eV/atom. Its energy relative to the lowest polymorph listed for this composition is 0.474 eV per formula unit.

Cell lengths 3.1155, 3.1155, 26.0995 Å; angles 90.00, 90.00, 120.00 degrees
Space group R-3m (No. 166, hexagonal axes)
Symmetry-distinct sites (fractional):
Be1 0.0000 0.0000 0.0000 (multiplicity 3)
Al1 0.0000 0.0000 0.2642 (multiplicity 6)
Sb1 0.0000 0.0000 0.5000 (multiplicity 3)